# TmMg8Tl6

A relaxed structure of TmMg8Tl6 (PBE-GGA, the Alexandria database).

```
data_TmMg8Tl6
_chemical_formula_sum 'Tm1 Mg8 Tl6'
_symmetry_space_group_name_H-M 'P 1'
_symmetry_Int_Tables_number 1
_cell_length_a 8.5866
_cell_length_b 8.5866
_cell_length_c 8.0308
_cell_angle_alpha 57.68
_cell_angle_beta 57.68
_cell_angle_gamma 60.00
loop_
_symmetry_equiv_pos_as_xyz
'x,y,z'
loop_
_atom_site_label
_atom_site_type_symbol
_atom_site_fract_x
_atom_site_fract_y
_atom_site_fract_z
Tl1 Tl 0.0635 0.7342 0.8005
Tl2 Tl 0.2658 0.5981 0.1995
Tl3 Tl 0.4019 0.0635 0.8005
Tl4 Tl 0.9365 0.2658 0.1995
Tl5 Tl 0.5981 0.9365 0.1995
Tl6 Tl 0.7342 0.4019 0.8005
Tm1 Tm 0.0000 0.0000 0.0000
Mg1 Mg 0.3327 0.3327 0.0019
Mg2 Mg 0.4447 0.7696 0.6716
Mg3 Mg 0.5553 0.2304 0.3284
Mg4 Mg 0.8859 0.5553 0.3284
Mg5 Mg 0.6673 0.6673 0.9981
Mg6 Mg 0.1141 0.4447 0.6716
Mg7 Mg 0.7696 0.1141 0.6716
Mg8 Mg 0.2304 0.8859 0.3284
```

Electronic total energy = -31.07 eV/cell
Symmetry = R-3 (148)
Magnetic moment = 0.00 μB/f.u.
N(E_F) = 7.43 states/eV per cell

---

# TmMg4Tl

A relaxed structure of TmMg4Tl (PBE-GGA, the Alexandria database).

```
data_TmMg4Tl
_chemical_formula_sum 'Tm1 Mg4 Tl1'
_symmetry_space_group_name_H-M 'P 1'
_symmetry_Int_Tables_number 1
_cell_length_a 5.9891
_cell_length_b 5.9891
_cell_length_c 5.9891
_cell_angle_alpha 60.00
_cell_angle_beta 60.00
_cell_angle_gamma 60.00
loop_
_symmetry_equiv_pos_as_xyz
'x,y,z'
loop_
_atom_site_label
_atom_site_type_symbol
_atom_site_fract_x
_atom_site_fract_y
_atom_site_fract_z
Mg1 Mg 0.1255 0.6248 0.6248
Mg2 Mg 0.6248 0.6248 0.1255
Mg3 Mg 0.6248 0.6248 0.6248
Mg4 Mg 0.6248 0.1255 0.6248
Tm1 Tm 0.2500 0.2500 0.2500
Tl1 Tl 0.0000 0.0000 0.0000
```

Electronic total energy = -13.09 eV/cell
Symmetry = F-43m (216)
Energy relative to the lowest polymorph listed for this composition = 0.54 eV/f.u.
Magnetic moment = 0.00 μB/f.u.
N(E_F) = 4.04 states/eV per cell

---

# TmMg3Tl3

A relaxed structure of TmMg3Tl3 (PBE-GGA, the Alexandria database).

```
data_TmMg3Tl3
_chemical_formula_sum 'Tm2 Mg6 Tl6'
_symmetry_space_group_name_H-M 'P 1'
_symmetry_Int_Tables_number 1
_cell_length_a 7.7891
_cell_length_b 7.7891
_cell_length_c 7.7891
_cell_angle_alpha 90.00
_cell_angle_beta 90.00
_cell_angle_gamma 90.00
loop_
_symmetry_equiv_pos_as_xyz
'x,y,z'
loop_
_atom_site_label
_atom_site_type_symbol
_atom_site_fract_x
_atom_site_fract_y
_atom_site_fract_z
Mg1 Mg 0.5000 0.0000 0.7500
Mg2 Mg 0.2500 0.5000 0.0000
Mg3 Mg 0.0000 0.7500 0.5000
Mg4 Mg 0.7500 0.5000 0.0000
Mg5 Mg 0.5000 0.0000 0.2500
Mg6 Mg 0.0000 0.2500 0.5000
Tm1 Tm 0.0000 0.0000 0.0000
Tm2 Tm 0.5000 0.5000 0.5000
Tl1 Tl 0.2500 0.0000 0.5000
Tl2 Tl 0.7500 0.0000 0.5000
Tl3 Tl 0.0000 0.5000 0.7500
Tl4 Tl 0.5000 0.7500 0.0000
Tl5 Tl 0.5000 0.2500 0.0000
Tl6 Tl 0.0000 0.5000 0.2500
```

Electronic total energy = -25.36 eV/cell
Symmetry = Pm-3n (223)
Energy relative to the lowest polymorph listed for this composition = 3.60 eV/f.u.
Magnetic moment = 0.00 μB/f.u.
N(E_F) = 12.40 states/eV per cell

---

# Tm2Mg2Tl3

A relaxed structure of Tm2Mg2Tl3 (PBE-GGA, the Alexandria database).

```
data_Tm2Mg2Tl3
_chemical_formula_sum 'Tm2 Mg2 Tl3'
_symmetry_space_group_name_H-M 'P 1'
_symmetry_Int_Tables_number 1
_cell_length_a 3.5335
_cell_length_b 3.5958
_cell_length_c 14.5469
_cell_angle_alpha 90.00
_cell_angle_beta 83.02
_cell_angle_gamma 90.00
loop_
_symmetry_equiv_pos_as_xyz
'x,y,z'
loop_
_atom_site_label
_atom_site_type_symbol
_atom_site_fract_x
_atom_site_fract_y
_atom_site_fract_z
Mg1 Mg 0.7060 0.5000 0.5879
Mg2 Mg 0.2940 0.5000 0.4121
Tm1 Tm 0.4279 0.5000 0.1441
Tm2 Tm 0.5721 0.5000 0.8559
Tl1 Tl 0.8558 0.0000 0.2884
Tl2 Tl 0.1442 0.0000 0.7116
Tl3 Tl 0.0000 0.0000 0.0000
```

Electronic total energy = -20.11 eV/cell
Symmetry = Cmmm (65)
Energy relative to the lowest polymorph listed for this composition = 0.00 eV/f.u.
Magnetic moment = 0.26 μB/f.u.
N(E_F) = 3.18 states/eV per cell